1.
Material: Tb2Dy4Se9
Method: DFT, GGA-PBE
State: relaxed

```
Tb2Dy4Se9
1.0
7.213 -0.001 0.014
3.604 6.250 0.039
-0.046 -0.098 19.495
Tb Dy Se
4 8 18
Direct
0.999 0.002 0.348
0.000 0.999 0.152
0.001 0.998 0.652
0.000 0.001 0.848
0.333 0.333 0.985
0.334 0.333 0.486
0.667 0.667 0.015
0.332 0.334 0.181
0.666 0.667 0.514
0.666 0.667 0.319
0.334 0.333 0.681
0.668 0.666 0.819
0.001 0.305 0.750
0.306 0.694 0.750
0.695 0.000 0.750
0.999 0.695 0.250
0.694 0.306 0.250
0.305 0.000 0.250
0.664 0.972 0.417
0.971 0.364 0.417
0.362 0.666 0.417
0.636 0.029 0.083
0.335 0.636 0.083
0.029 0.333 0.083
0.336 0.028 0.583
0.029 0.636 0.583
0.638 0.334 0.583
0.364 0.971 0.917
0.665 0.364 0.917
0.971 0.667 0.917
```

**Formation energy (no corrections)**: -180 kJ/mol of atoms
**V**: 29.30 Å³/atom
**Final energy**: -86.9 eV per formula unit
**Crystal system**: triclinic


2.
Material: TbGa8Pd2
Method: DFT, GGA-PBE
State: relaxed

```
TbGa8Pd2
1.0
4.853 0.053 0.079
-0.734 6.572 0.854
-0.734 -1.743 6.394
Tb Ga Pd
1 8 2
Direct
0.500 0.000 0.000
0.849 0.900 0.634
0.849 0.634 0.900
0.278 0.655 0.655
0.500 0.690 0.310
0.500 0.310 0.690
0.722 0.345 0.345
0.151 0.366 0.100
0.151 0.100 0.366
0.000 0.277 0.723
0.000 0.723 0.277
```

**Energy of formation from the pure elements**: -3.632 eV per formula unit
**V**: 19.26 Å³/atom
**Final energy**: -42.9 eV per formula unit
**Crystal system**: monoclinic


3.
Material: LiAlCd2O4
Method: DFT, GGA-PBE
State: relaxed

```
LiAlCd2O4
1.0
4.806 0.200 0.000
-0.199 4.806 0.000
-2.303 -2.503 4.730
Li Al Cd O
1 1 2 4
Direct
0.000 0.000 0.000
0.500 0.500 0.000
0.750 0.250 0.500
0.250 0.750 0.500
0.621 0.621 0.796
0.379 0.825 0.204
0.825 0.379 0.204
0.175 0.175 0.796
```

**Formation energy (no corrections)**: -175 kJ/mol of atoms
**V**: 13.68 Å³/atom
**Final energy**: -41.9 eV per formula unit
**Crystal system**: tetragonal